{
  "formula": "PrSi2AgAu",
  "functional": "PBE",
  "state": "relaxed",
  "lattice": [[-2.1428, 2.1428, 5.2701], [2.1428, -2.1428, 5.2701], [2.1428, 2.1428, -5.2701]],
  "species": ["Pr", "Si", "Si", "Ag", "Au"],
  "frac_coords": [[0.0000, 0.0000, 0.0000], [0.3890, 0.3890, 0.0000], [0.6110, 0.6110, 0.0000], [0.2500, 0.7500, 0.5000], [0.7500, 0.2500, 0.5000]],
  "energy_ev_per_cell": -24.44,
  "total_magnetization_mub_per_cell": 0.00
}